6
Lattice="2.969 0.000 0.000 0.000 2.969 0.000 0.000 0.000 10.188" Properties=species:S:1:pos:R:3 comment="TcRuSe (PBE, optimized geometry)" polymorph_energy_ev_per_atom=0.000 m_tot_mub_per_cell=0.0 formation_energy_uncorrected_ev_per_atom=0.163 e_tot_ev_per_cell=-45.27 pbc="T T T"
Tc 0.000 0.000 0.000
Tc 1.484 1.484 5.094
Ru 0.000 0.000 3.454
Ru 1.484 1.484 8.548
Se 0.000 0.000 6.755
Se 1.484 1.484 1.661